[1]
{"formula": "Mn3CuBr", "functional": "PBE", "state": "optimized geometry", "de_polymorph_mev_per_atom": 413, "raw_formation_energy_mev_per_atom": 1182.9, "space_group": "Pm-3m", "e_tot_ev_per_cell": -27.36, "volume_a3_per_fu": 90.88, "lattice_angstrom": [[4.496, 0.000, 0.000], [0.000, 4.496, 0.000], [0.000, 0.000, 4.496]], "species": ["Mn", "Mn", "Mn", "Cu", "Br"], "fractional_positions": [[0.000, 0.000, 0.500], [0.000, 0.500, 0.000], [0.500, 0.000, 0.000], [0.500, 0.500, 0.500], [0.000, 0.000, 0.000]]}

=====

[2]
{"formula": "MnCu2Br", "functional": "PBE", "state": "optimized geometry", "de_polymorph_mev_per_atom": 8, "raw_formation_energy_mev_per_atom": 182.2, "space_group": "Cm", "e_tot_ev_per_cell": -18.31, "volume_a3_per_fu": 82.16, "lattice_angstrom": [[3.844, -1.728, 0.000], [3.844, 1.728, 0.000], [-0.934, 0.000, 6.184]], "species": ["Mn", "Cu", "Cu", "Br"], "fractional_positions": [[0.000, 0.000, 0.000], [0.435, 0.435, 0.294], [0.719, 0.719, 0.184], [0.427, 0.427, 0.690]]}

=====

[3]
{"formula": "MnCuBr2", "functional": "PBE", "state": "optimized geometry", "de_polymorph_mev_per_atom": 677, "raw_formation_energy_mev_per_atom": 530.1, "space_group": "F-43m", "e_tot_ev_per_cell": -14.49, "volume_a3_per_fu": 84.79, "lattice_angstrom": [[0.000, 3.487, 3.487], [3.487, 0.000, 3.487], [3.487, 3.487, 0.000]], "species": ["Mn", "Cu", "Br", "Br"], "fractional_positions": [[0.000, 0.000, 0.000], [0.750, 0.750, 0.750], [0.250, 0.250, 0.250], [0.500, 0.500, 0.500]]}

=====

[4]
{"formula": "MnCuBr2", "functional": "PBE", "state": "optimized geometry", "de_polymorph_mev_per_atom": 243, "raw_formation_energy_mev_per_atom": 95.8, "space_group": "P2/m", "e_tot_ev_per_cell": -16.23, "volume_a3_per_fu": 83.96, "lattice_angstrom": [[3.860, 0.000, 0.000], [0.000, 3.898, 0.000], [-0.123, 0.000, 5.580]], "species": ["Mn", "Cu", "Br", "Br"], "fractional_positions": [[0.000, 0.000, 0.000], [0.500, 0.500, 0.500], [0.000, 0.000, 0.500], [0.500, 0.500, 0.000]]}

=====

[5]
{"formula": "MnCu2Br6", "functional": "PBE", "state": "optimized geometry", "de_polymorph_mev_per_atom": 0, "raw_formation_energy_mev_per_atom": -425.0, "space_group": "C2/c", "e_tot_ev_per_cell": -62.45, "volume_a3_per_fu": 279.86, "lattice_angstrom": [[7.304, -6.164, 0.000], [7.304, 6.164, 0.000], [-2.240, 0.000, 6.217]], "species": ["Mn", "Mn", "Cu", "Cu", "Cu", "Cu", "Br", "Br", "Br", "Br", "Br", "Br", "Br", "Br", "Br", "Br", "Br", "Br"], "fractional_positions": [[0.082, 0.918, 0.750], [0.918, 0.082, 0.250], [0.332, 0.534, 0.846], [0.466, 0.668, 0.654], [0.534, 0.332, 0.346], [0.668, 0.466, 0.154], [0.033, 0.173, 0.634], [0.099, 0.667, 0.829], [0.173, 0.033, 0.134], [0.315, 0.457, 0.449], [0.333, 0.901, 0.671], [0.457, 0.315, 0.949], [0.543, 0.685, 0.051], [0.667, 0.099, 0.329], [0.685, 0.543, 0.551], [0.827, 0.967, 0.866], [0.901, 0.333, 0.171], [0.967, 0.827, 0.366]]}

=====

[6]
{"formula": "MnCu2Br", "functional": "PBE", "state": "optimized geometry", "de_polymorph_mev_per_atom": 322, "raw_formation_energy_mev_per_atom": 495.8, "space_group": "I4/mmm", "e_tot_ev_per_cell": -17.05, "volume_a3_per_fu": 66.33, "lattice_angstrom": [[-1.835, 1.835, 4.923], [1.835, -1.835, 4.923], [1.835, 1.835, -4.923]], "species": ["Mn", "Cu", "Cu", "Br"], "fractional_positions": [[0.000, 0.000, 0.000], [0.250, 0.750, 0.500], [0.750, 0.250, 0.500], [0.500, 0.500, 0.000]]}